Density functional theory data (PBE-GGA) for PmGdSbTe after structural relaxation.

The structure in POSCAR format:
```
PmGdSbTe
1.0
-1.552 -0.963 -5.126
2.949 -3.306 -3.160
-1.942 -4.892 -1.381
Pm Sb Te Gd
1 1 1 1
direct
0.000 0.000 0.000 Pm
0.750 0.750 0.750 Sb
0.250 0.250 0.250 Te
0.500 0.500 0.500 Gd
```

Calculated values
- Formation energy (no corrections): -1.0861 eV/atom
- Total DFT energy (no corrections): -7.610 eV per atom